No. 1
DFT (GGA-PBE) results for crystalline Sc2NbGa2 at its relaxed geometry.

Properties
DOS at the Fermi energy, states/eV per atom: 0.9289
Energy relative to the elements, kJ/mol of atoms: -35
Symmetry: No. 127

Unit cell a=7.512 b=7.512 c=3.358 alpha=90.00 beta=90.00 gamma=90.00
Fractional coordinates of all 10 atoms:
Sc 0.677 0.823 0.500
Nb 0.500 0.500 0.000
Ga 0.125 0.375 0.000
Ga 0.375 0.875 0.000
Sc 0.323 0.177 0.500
Nb 0.000 0.000 0.000
Sc 0.177 0.677 0.500
Sc 0.823 0.323 0.500
Ga 0.875 0.625 0.000
Ga 0.625 0.125 0.000

No. 2
DFT (GGA-PBE) results for crystalline ScNbGa at its relaxed geometry.

Properties
DOS at the Fermi energy, states/eV per atom: 0.6954
Energy relative to the elements, kJ/mol of atoms: -24
Symmetry: No. 107

Unit cell a=2.923 b=2.923 c=6.857 alpha=102.30 beta=102.30 gamma=90.00
Fractional coordinates of all 3 atoms:
Nb 0.324 0.324 0.648
Sc 0.006 0.006 0.011
Ga 0.671 0.671 0.341

No. 3
DFT (GGA-PBE) results for crystalline Sc2Nb3Ga4 at its relaxed geometry.

Properties
DOS at the Fermi energy, states/eV per atom: 0.8688
Energy relative to the elements, kJ/mol of atoms: -43
Symmetry: No. 14

Unit cell a=6.950 b=7.164 c=7.061 alpha=90.00 beta=90.00 gamma=110.00
Fractional coordinates of all 18 atoms:
Nb 0.745 0.258 0.810
Ga 0.357 0.075 0.967
Ga 0.635 0.523 0.628
Sc 0.065 0.190 0.160
Nb 0.245 0.258 0.690
Ga 0.143 0.925 0.467
Ga 0.865 0.477 0.128
Sc 0.935 0.810 0.840
Nb 0.500 0.500 0.000
Sc 0.565 0.190 0.340
Ga 0.857 0.075 0.533
Ga 0.643 0.925 0.033
Nb 0.000 0.500 0.500
Nb 0.255 0.742 0.190
Nb 0.755 0.742 0.310
Sc 0.435 0.810 0.660
Ga 0.135 0.523 0.872
Ga 0.365 0.477 0.372

No. 4
DFT (GGA-PBE) results for crystalline Sc3NbGa at its relaxed geometry.

Properties
DOS at the Fermi energy, states/eV per atom: 1.6999
Energy relative to the elements, kJ/mol of atoms: 59
Symmetry: No. 221

Unit cell a=4.990 b=4.990 c=4.990 alpha=90.00 beta=90.00 gamma=90.00
Fractional coordinates of all 5 atoms:
Sc 0.000 0.000 0.500
Nb 0.500 0.500 0.500
Sc 0.000 0.500 0.000
Ga 0.000 0.000 0.000
Sc 0.500 0.000 0.000

No. 5
DFT (GGA-PBE) results for crystalline Sc2Nb2Ga at its relaxed geometry.

Properties
DOS at the Fermi energy, states/eV per atom: 1.0521
Energy relative to the elements, kJ/mol of atoms: -1
Symmetry: No. 127

Unit cell a=7.037 b=7.037 c=4.124 alpha=90.00 beta=90.00 gamma=90.00
Fractional coordinates of all 10 atoms:
Nb 0.864 0.636 0.000
Sc 0.834 0.334 0.500
Sc 0.666 0.834 0.500
Ga 0.000 0.000 0.000
Nb 0.364 0.864 0.000
Sc 0.166 0.666 0.500
Nb 0.636 0.136 0.000
Sc 0.334 0.166 0.500
Nb 0.136 0.364 0.000
Ga 0.500 0.500 0.000

No. 6
DFT (GGA-PBE) results for crystalline Sc2Nb2Ga7 at its relaxed geometry.

Properties
DOS at the Fermi energy, states/eV per atom: 0.8213
Energy relative to the elements, kJ/mol of atoms: 10
Symmetry: No. 65

Unit cell a=6.158 b=6.114 c=6.158 alpha=90.01 beta=100.27 gamma=89.99
Fractional coordinates of all 11 atoms:
Nb 0.280 0.000 0.720
Ga 0.500 0.715 0.000
Ga 0.500 0.292 0.500
Ga 0.000 0.000 0.000
Ga 0.000 0.285 0.500
Sc 0.181 0.500 0.181
Sc 0.819 0.500 0.819
Nb 0.720 0.000 0.280
Ga 0.500 0.708 0.500
Ga 0.000 0.715 0.500
Ga 0.500 0.285 0.000